Density functional theory data (GGA-PBE) for a geometry-optimized CsHgTeO4 structure.

Geometry as extended XYZ:
```
7
Lattice="-3.446 5.070 -2.910 -6.322 -1.039 -2.236 -5.251 2.829 3.236" Properties=species:S:1:pos:R:3 pbc="T T T"
Cs -11.264 5.146 -1.433
Hg -7.509 3.430 -0.955
Te -3.755 1.715 -0.478
O -8.328 4.040 1.075
O -5.457 2.493 -0.694
O -8.913 1.925 -1.916
O -7.341 5.265 -2.285
```

- energy relative to the elements, uncorrected (eV/atom) = -0.82

Density functional theory data (GGA-PBE) for a geometry-optimized Mg2NiGe2 structure.

Geometry as extended XYZ:
```
5
Lattice="4.142 0.000 0.000 0.000 4.142 0.000 2.071 2.071 5.668" Properties=species:S:1:pos:R:3 pbc="T T T"
Ni 0.000 0.000 0.000
Ge 2.071 2.071 1.147
Ge 4.142 4.142 4.521
Mg 4.142 2.071 2.834
Mg 2.071 4.142 2.834
```

- E_form (kJ per mole of atoms) = 36

Density functional theory data (GGA-PBE) for a geometry-optimized LaPmPu2Bi4 structure.

Geometry as extended XYZ:
```
8
Lattice="-1.866 3.193 -2.734 -6.490 -4.487 -0.810 -5.230 1.848 5.727" Properties=species:S:1:pos:R:3 pbc="T T T"
La -5.860 -1.319 2.459
Pm -4.178 -0.647 -1.772
Pu -5.230 1.848 5.727
Pu -3.548 2.520 1.497
Bi -8.835 -2.005 3.689
Bi -4.751 2.559 -1.505
Bi -7.129 -1.356 -0.585
Bi -6.458 1.909 2.769
```

- E_form (kJ per mole of atoms) = -62

Density functional theory data (GGA-PBE) for a geometry-optimized TiCoB4 structure.

Geometry as extended XYZ:
```
24
Lattice="-1.268 -1.850 2.130 4.758 0.342 3.129 -4.087 8.843 5.248" Properties=species:S:1:pos:R:3 pbc="T T T"
Ti 1.570 3.294 3.795
Ti -0.898 5.892 4.582
Ti -0.007 1.387 1.200
Ti 0.679 7.798 7.177
Co 2.671 1.011 2.468
Co -2.000 8.174 5.909
Co -1.018 3.676 2.587
Co 1.690 5.509 5.790
B 2.374 1.007 4.534
B -2.970 6.328 5.973
B -0.513 1.936 3.622
B -0.083 5.399 6.886
B 3.372 -0.341 3.957
B -3.968 7.676 6.550
B -0.786 3.336 4.676
B 0.189 3.999 5.832
B 1.726 3.361 6.193
B -2.322 3.974 4.315
B 0.986 -0.357 2.523
B -1.582 7.692 7.985
B 2.785 2.101 5.729
B -3.382 5.234 4.778
B 0.851 0.969 3.594
B -1.447 6.366 6.913
```

- E_form (kJ per mole of atoms) = -52

Density functional theory data (GGA-PBE) for a geometry-optimized Al2ZnP structure.

Geometry as extended XYZ:
```
4
Lattice="-0.500 -5.862 0.831 2.863 -3.586 3.775 -3.048 5.057 -0.662" Properties=species:S:1:pos:R:3 pbc="T T T"
P 1.253 -5.012 2.443
Zn 0.595 -2.015 2.897
Al 2.303 -9.213 4.491
Al -1.294 -2.323 1.020
```

- offset from the most stable computed form (meV per atom) = 2.1
- E_form (kJ per mole of atoms) = 2

Density functional theory data (GGA-PBE) for a geometry-optimized SnSb2AsI structure.

Geometry as extended XYZ:
```
5
Lattice="-3.155 -4.862 -0.115 4.192 -2.649 -3.003 2.445 -1.703 4.915" Properties=species:S:1:pos:R:3 pbc="T T T"
I 1.223 -0.851 2.458
Sb 2.096 -1.325 -1.501
Sb -1.577 -2.431 -0.057
As 1.741 -4.607 0.899
Sn 0.000 0.000 0.000
```

- offset from the most stable computed form (meV per atom) = 379.1
- energy relative to the elements, uncorrected (eV/atom) = 0.91

Density functional theory data (GGA-PBE) for a geometry-optimized TbYInAg structure.

Geometry as extended XYZ:
```
4
Lattice="-4.566 -0.078 -2.625 -1.242 -4.147 -3.001 -3.843 -3.278 1.497" Properties=species:S:1:pos:R:3 pbc="T T T"
Y 0.000 0.000 0.000
Tb -4.825 -3.752 -2.065
Ag -2.413 -1.876 -1.032
In -7.238 -5.628 -3.097
```

- E_form (kJ per mole of atoms) = -40

Density functional theory data (GGA-PBE) for a geometry-optimized BaIrOs structure.

Geometry as extended XYZ:
```
3
Lattice="-1.206 6.827 -1.985 -2.401 4.295 -5.271 -0.192 -5.677 4.442" Properties=species:S:1:pos:R:3 pbc="T T T"
Ir -1.090 3.361 -2.192
Os -2.517 7.759 -5.062
Ba -0.001 0.002 -0.001
```

- offset from the most stable computed form (meV per atom) = 506.2
- E_form (kJ per mole of atoms) = 65

Density functional theory data (GGA-PBE) for a geometry-optimized TaNi3Rh4 structure.

Geometry as extended XYZ:
```
16
Lattice="4.551 0.000 0.000 0.000 5.497 0.000 0.000 0.000 8.640" Properties=species:S:1:pos:R:3 pbc="T T T"
Ni 0.000 0.000 0.000
Ni 0.000 0.000 4.320
Ni 2.976 0.000 6.480
Ni 1.575 0.000 2.160
Ni 2.877 2.749 6.480
Ni 1.674 2.749 2.160
Rh 2.276 4.148 0.000
Rh 2.276 4.148 4.320
Rh 2.276 1.349 0.000
Rh 2.276 1.349 4.320
Rh 0.641 4.181 6.480
Rh 3.910 4.181 2.160
Rh 3.910 1.316 2.160
Rh 0.641 1.316 6.480
Ta 0.000 2.749 0.000
Ta 0.000 2.749 4.320
```

- E_form (kJ per mole of atoms) = -19

Density functional theory data (GGA-PBE) for a geometry-optimized AlAg3 structure.

Geometry as extended XYZ:
```
8
Lattice="-15.933 -0.784 1.232 -0.156 -1.105 -2.725 0.219 -2.726 1.093" Properties=species:S:1:pos:R:3 pbc="T T T"
Ag -15.724 -0.773 1.216
Ag -1.882 -2.009 -0.668
Ag -3.983 -0.196 0.308
Ag -6.022 -2.213 -0.348
Ag -8.175 -0.402 0.632
Ag -11.950 -0.588 0.924
Al -9.999 -2.409 -0.041
Al -13.838 -2.597 0.256
```

- E_form (kJ per mole of atoms) = -1

Density functional theory data (GGA-PBE) for a geometry-optimized YCr7 structure.

Geometry as extended XYZ:
```
8
Lattice="4.008 -3.072 -2.075 1.391 -4.683 2.438 -1.172 -4.771 -2.382" Properties=species:S:1:pos:R:3 pbc="T T T"
Y 0.000 0.000 0.000
Cr 0.110 -4.727 0.028
Cr 1.418 -3.922 -2.229
Cr 2.699 -3.878 0.181
Cr -0.586 -2.385 -1.191
Cr 0.696 -2.341 1.219
Cr 2.004 -1.536 -1.038
Cr 2.113 -6.263 -1.010
```

- E_form (kJ per mole of atoms) = 80

Density functional theory data (GGA-PBE) for a geometry-optimized LiTl2TeAs structure.

Geometry as extended XYZ:
```
5
Lattice="5.518 0.000 0.000 0.000 4.905 0.000 0.000 0.000 5.518" Properties=species:S:1:pos:R:3 pbc="T T T"
Tl 0.000 0.000 2.759
Tl 2.759 0.000 0.000
Te 2.759 2.452 2.759
As 0.000 0.000 0.000
Li 0.000 2.452 0.000
```

- energy relative to the elements, uncorrected (eV/atom) = -0.15